Computed, not measured: crystalline AlAsSCl2 at its relaxed geometry at the PBE level of DFT.

Computed properties:
The value obtained for the relative energy among the computed polymorphs is 0 meV/atom. For the total magnetic moment, the calculation gives 1.8 μB per formula unit. Its space group is P4/mmm, No. 123. The uncorrected formation energy comes out at -0.18 eV per atom. As for the total energy: -3.4247 eV/atom.

a = 4.594 Å, b = 4.594 Å, c = 5.044 Å
α = 90.00°, β = 90.00°, γ = 90.00°
Positions (direct):
S 0.000 0.000 0.500
Cl 0.500 0.000 0.000
Cl 0.000 0.500 0.000
As 0.500 0.500 0.500
Al 0.000 0.000 0.000

***

Computed, not measured: crystalline AlAsSe2Cl at its relaxed geometry at the PBE level of DFT.

Computed properties:
The value obtained for the relative energy among the computed polymorphs is 656 meV/atom. For the total magnetic moment, the calculation gives 0.0 μB per formula unit. Its space group is P4/mmm, No. 123. The uncorrected formation energy comes out at 0.93 eV per atom. As for the total energy: -2.5103 eV/atom.

a = 5.235 Å, b = 5.235 Å, c = 4.701 Å
α = 90.00°, β = 90.00°, γ = 90.00°
Positions (direct):
Al 0.500 0.500 0.500
Se 0.500 0.000 0.000
Se 0.000 0.500 0.000
As 0.000 0.000 0.500
Cl 0.000 0.000 0.000

***

Computed, not measured: crystalline AlAsSe2Cl at its relaxed geometry at the PBE level of DFT.

Computed properties:
The value obtained for the relative energy among the computed polymorphs is 0 meV/atom. For the total magnetic moment, the calculation gives 0.0 μB per formula unit. Its space group is P4/mmm, No. 123. The uncorrected formation energy comes out at 0.28 eV per atom. As for the total energy: -3.1659 eV/atom.

a = 4.786 Å, b = 4.786 Å, c = 5.180 Å
α = 90.00°, β = 90.00°, γ = 90.00°
Positions (direct):
Se 0.500 0.000 0.000
Se 0.000 0.500 0.000
Cl 0.500 0.500 0.500
As 0.000 0.000 0.500
Al 0.000 0.000 0.000

***

Computed, not measured: crystalline AlAs2SeCl at its relaxed geometry at the PBE level of DFT.

Computed properties:
The value obtained for the relative energy among the computed polymorphs is 0 meV/atom. For the total magnetic moment, the calculation gives 0.0 μB per formula unit. Its space group is P4/mmm, No. 123. The uncorrected formation energy comes out at 0.39 eV per atom. As for the total energy: -3.2887 eV/atom.

a = 4.948 Å, b = 4.948 Å, c = 4.779 Å
α = 90.00°, β = 90.00°, γ = 90.00°
Positions (direct):
As 0.500 0.000 0.000
As 0.000 0.500 0.000
Al 0.000 0.000 0.000
Se 0.000 0.000 0.500
Cl 0.500 0.500 0.500

***

Computed, not measured: crystalline AlAs2SeCl at its relaxed geometry at the PBE level of DFT.

Computed properties:
The value obtained for the relative energy among the computed polymorphs is 603 meV/atom. For the total magnetic moment, the calculation gives 0.1 μB per formula unit. Its space group is P4/mmm, No. 123. The uncorrected formation energy comes out at 0.99 eV per atom. As for the total energy: -2.6857 eV/atom.

a = 4.864 Å, b = 4.864 Å, c = 5.247 Å
α = 90.00°, β = 90.00°, γ = 90.00°
Positions (direct):
Cl 0.000 0.000 0.000
As 0.000 0.500 0.000
As 0.500 0.000 0.000
Al 0.500 0.500 0.500
Se 0.000 0.000 0.500

***

Computed, not measured: crystalline TiAlAs2Cl at its relaxed geometry at the PBE level of DFT.

Computed properties:
For the total magnetic moment, the calculation gives 0.0 μB per formula unit. Its space group is P4/mmm, No. 123. The uncorrected formation energy comes out at 0.07 eV per atom. As for the total energy: -4.4890 eV/atom.

a = 4.788 Å, b = 5.451 Å, c = 4.788 Å
α = 90.00°, β = 90.00°, γ = 90.00°
Positions (direct):
Cl 0.500 0.500 0.500
As 0.500 0.000 0.000
As 0.000 0.000 0.500
Ti 0.000 0.000 0.000
Al 0.000 0.500 0.000

***

Computed, not measured: crystalline AlCoAs2 at its relaxed geometry at the PBE level of DFT.

Computed properties:
For the total magnetic moment, the calculation gives 0.0 μB per formula unit. Its space group is R-3m, No. 166. The value obtained for the formation enthalpy at 0 K is -6.9 kJ/mol of atoms. As for the total energy: -5.1089 eV/atom.

a = 3.584 Å, b = 3.584 Å, c = 6.243 Å
α = 73.37°, β = 73.37°, γ = 60.00°
Positions (direct):
As 0.987 0.987 0.038
As 0.513 0.513 0.462
Co 0.250 0.250 0.250
Al 0.750 0.750 0.750

***

Computed, not measured: crystalline Al2CoAs at its relaxed geometry at the PBE level of DFT.

Computed properties:
For the total magnetic moment, the calculation gives 0.0 μB per formula unit. Its space group is C2/m, No. 12. The value obtained for the formation enthalpy at 0 K is -2.9 kJ/mol of atoms. As for the total energy: -4.8402 eV/atom.

a = 4.568 Å, b = 4.568 Å, c = 4.765 Å
α = 78.74°, β = 78.74°, γ = 36.75°
Positions (direct):
Al 0.518 0.518 0.474
Al 0.982 0.982 0.026
Co 0.250 0.250 0.250
As 0.750 0.750 0.750

***

Computed, not measured: crystalline Al2CoAs at its relaxed geometry at the PBE level of DFT.

Computed properties:
For the total magnetic moment, the calculation gives 0.0 μB per formula unit. Its space group is F-43m, No. 216. The value obtained for the formation enthalpy at 0 K is 12.3 kJ/mol of atoms. As for the total energy: -4.6826 eV/atom.

a = 4.373 Å, b = 4.373 Å, c = 4.373 Å
α = 60.00°, β = 60.00°, γ = 60.00°
Positions (direct):
Al 0.000 0.000 0.000
Al 0.750 0.750 0.750
Co 0.250 0.250 0.250
As 0.500 0.500 0.500

***

Computed, not measured: crystalline AlCoAs2 at its relaxed geometry at the PBE level of DFT.

Computed properties:
For the total magnetic moment, the calculation gives 0.1 μB per formula unit. Its space group is F-43m, No. 216. The value obtained for the formation enthalpy at 0 K is 33.6 kJ/mol of atoms. As for the total energy: -4.6882 eV/atom.

a = 4.468 Å, b = 4.468 Å, c = 4.468 Å
α = 60.00°, β = 60.00°, γ = 60.00°
Positions (direct):
As 0.250 0.250 0.250
As 0.000 0.000 0.000
Al 0.500 0.500 0.500
Co 0.750 0.750 0.750

***

Computed, not measured: crystalline Al2CoAs at its relaxed geometry at the PBE level of DFT.

Computed properties:
For the total magnetic moment, the calculation gives 0.0 μB per formula unit. Its space group is Pmmm, No. 47. The value obtained for the formation enthalpy at 0 K is -29.4 kJ/mol of atoms. As for the total energy: -5.1149 eV/atom.

a = 2.812 Å, b = 2.799 Å, c = 7.684 Å
α = 90.01°, β = 90.00°, γ = 90.00°
Positions (direct):
Al 0.000 0.250 0.941
Al 0.000 0.250 0.559
As 0.500 0.250 0.250
Co 0.500 0.750 0.750

***

Computed, not measured: crystalline Al2CoAs at its relaxed geometry at the PBE level of DFT.

Computed properties:
For the total magnetic moment, the calculation gives 0.0 μB per formula unit. Its space group is Pm, No. 6. The value obtained for the formation enthalpy at 0 K is -18.7 kJ/mol of atoms. As for the total energy: -5.0038 eV/atom.

a = 3.848 Å, b = 3.468 Å, c = 4.813 Å
α = 68.97°, β = 90.00°, γ = 90.00°
Positions (direct):
Al 0.500 0.277 0.321
Al 0.000 0.976 0.923
As 0.000 0.697 0.480
Co 0.500 0.550 0.777

***

Computed, not measured: crystalline AlCoAs2 at its relaxed geometry at the PBE level of DFT.

Computed properties:
For the total magnetic moment, the calculation gives 0.0 μB per formula unit. Its space group is P2/m, No. 10. The value obtained for the formation enthalpy at 0 K is -4.8 kJ/mol of atoms. As for the total energy: -5.0871 eV/atom.

a = 3.739 Å, b = 4.789 Å, c = 4.848 Å
α = 56.80°, β = 90.00°, γ = 90.00°
Positions (direct):
As 0.000 0.092 0.076
As 0.000 0.408 0.424
Co 0.500 0.250 0.250
Al 0.500 0.750 0.750

***

Computed, not measured: crystalline AlCoAs2 at its relaxed geometry at the PBE level of DFT.

Computed properties:
For the total magnetic moment, the calculation gives 0.4 μB per formula unit. Its space group is R3m, No. 160. The value obtained for the formation enthalpy at 0 K is -3.9 kJ/mol of atoms. As for the total energy: -5.0772 eV/atom.

a = 9.706 Å, b = 9.706 Å, c = 9.706 Å
α = 17.40°, β = 17.40°, γ = 17.40°
Positions (direct):
As 0.023 0.023 0.023
As 0.220 0.220 0.220
Al 0.762 0.762 0.762
Co 0.495 0.495 0.495